[1]
The following is a DFT calculation (PBEsol) of a relaxed structure of Dy2Ge2O7.

Output
Electronic total energy: -7.77 eV/atom
Total magnetization: 0.00 μB/f.u.
Energy relative to the elements, uncorrected: -2.6252 eV per atom
Space-group type: Pnma (62)

Cell: 13.6956 8.2039 5.2211 Å, 90.00 90.00 90.00°
With the nearest neighbours (Å) after each atom.
Element x y z (fractional)
Dy 0.1239 0.0161 0.1627  7 O 2.22-2.42
Dy 0.1239 0.4839 0.1627  7 O 2.22-2.42
Dy 0.3761 0.5161 0.6627  7 O 2.22-2.42
Dy 0.3761 0.9839 0.6627  7 O 2.22-2.42
Dy 0.6239 0.0161 0.3373  7 O 2.22-2.42
Dy 0.6239 0.4839 0.3373  7 O 2.22-2.42
Dy 0.8761 0.5161 0.8373  7 O 2.22-2.42
Dy 0.8761 0.9839 0.8373  7 O 2.22-2.42
Ge 0.0511 0.7500 0.6278  4 O 1.75-1.83
Ge 0.1873 0.2500 0.6262  4 O 1.73-1.81
Ge 0.3127 0.7500 0.1262  4 O 1.73-1.81
Ge 0.4489 0.2500 0.1278  4 O 1.75-1.83
Ge 0.5511 0.7500 0.8722  4 O 1.75-1.83
Ge 0.6873 0.2500 0.8738  4 O 1.73-1.81
Ge 0.8127 0.7500 0.3738  4 O 1.73-1.81
Ge 0.9489 0.2500 0.3722  4 O 1.75-1.83
O 0.0499 0.5666 0.7972  1 Ge 1.75
O 0.0499 0.9334 0.7972  1 Ge 1.75
O 0.0811 0.2500 0.4183  2 Ge 1.81-1.83
O 0.1098 0.7500 0.3302  1 Ge 1.75
O 0.1547 0.2500 0.9463  1 Ge 1.73
O 0.2375 0.0738 0.4926  1 Ge 1.75
O 0.2375 0.4262 0.4926  1 Ge 1.75
O 0.2625 0.5738 0.9926  1 Ge 1.75
O 0.2625 0.9262 0.9926  1 Ge 1.75
O 0.3453 0.7500 0.4463  1 Ge 1.73
O 0.3902 0.2500 0.8302  1 Ge 1.75
O 0.4189 0.7500 0.9183  2 Ge 1.81-1.83
O 0.4501 0.0666 0.2972  1 Ge 1.75
O 0.4501 0.4334 0.2972  1 Ge 1.75
O 0.5499 0.5666 0.7028  1 Ge 1.75
O 0.5499 0.9334 0.7028  1 Ge 1.75
O 0.5811 0.2500 0.0817  2 Ge 1.81-1.83
O 0.6098 0.7500 0.1698  1 Ge 1.75
O 0.6547 0.2500 0.5537  1 Ge 1.73
O 0.7375 0.0738 0.0074  1 Ge 1.75
O 0.7375 0.4262 0.0074  1 Ge 1.75
O 0.7625 0.5738 0.5074  1 Ge 1.75
O 0.7625 0.9262 0.5074  1 Ge 1.75
O 0.8453 0.7500 0.0537  1 Ge 1.73
O 0.8902 0.2500 0.6698  1 Ge 1.75
O 0.9189 0.7500 0.5817  2 Ge 1.81-1.83
O 0.9501 0.0666 0.2028  1 Ge 1.75
O 0.9501 0.4334 0.2028  1 Ge 1.75



[2]
The following is a DFT calculation (PBEsol) of a relaxed structure of Dy2Ge2O7.

Output
Electronic total energy: -7.72 eV/atom
Total magnetization: 0.00 μB/f.u.
Energy relative to the elements, uncorrected: -2.5789 eV per atom
Space-group type: P2_1/m (11)

Cell: 5.3109 8.0176 7.5374 Å, 90.00 108.77 90.00°
With the nearest neighbours (Å) after each atom.
Element x y z (fractional)
Dy 0.0000 0.0000 0.0000  6 O 2.23-2.28
Dy 0.0000 0.5000 0.0000  6 O 2.23-2.28
Dy 0.5000 0.0000 0.5000  8 O 2.30-2.50
Dy 0.5000 0.5000 0.5000  8 O 2.30-2.50
Ge 0.0335 0.2500 0.6117  4 O 1.74-1.78
Ge 0.4015 0.7500 0.8286  4 O 1.74-1.80
Ge 0.5985 0.2500 0.1714  4 O 1.74-1.80
Ge 0.9665 0.7500 0.3883  4 O 1.74-1.78
O 0.0382 0.5636 0.2954  1 Ge 1.74
O 0.0382 0.9364 0.2954  1 Ge 1.74
O 0.1657 0.7500 0.9442  1 Ge 1.74
O 0.2728 0.7500 0.5770  2 Ge 1.78-1.80
O 0.3255 0.2500 0.5550  1 Ge 1.74
O 0.4159 0.0680 0.1664  1 Ge 1.75
O 0.4159 0.4320 0.1664  1 Ge 1.75
O 0.5841 0.5680 0.8336  1 Ge 1.75
O 0.5841 0.9320 0.8336  1 Ge 1.75
O 0.6745 0.7500 0.4450  1 Ge 1.74
O 0.7272 0.2500 0.4230  2 Ge 1.78-1.80
O 0.8343 0.2500 0.0558  1 Ge 1.74
O 0.9618 0.0636 0.7046  1 Ge 1.74
O 0.9618 0.4364 0.7046  1 Ge 1.74



[3]
The following is a DFT calculation (PBEsol) of a relaxed structure of Dy2Ge2O7.

Output
Electronic total energy: -7.81 eV/atom
Total magnetization: 0.00 μB/f.u.
Energy relative to the elements, uncorrected: -2.6617 eV per atom
Space-group type: P4_12_12 (92)

Cell: 6.7892 6.7892 12.3643 Å, 90.00 90.00 90.00°
With the nearest neighbours (Å) after each atom.
Element x y z (fractional)
Dy 0.1264 0.3529 0.1146  6 O 2.21-2.38
Dy 0.1471 0.6264 0.3646  6 O 2.21-2.38
Dy 0.3529 0.1264 0.8854  6 O 2.21-2.38
Dy 0.3736 0.8529 0.1354  6 O 2.21-2.38
Dy 0.6264 0.1471 0.6354  6 O 2.21-2.38
Dy 0.6471 0.8736 0.3854  6 O 2.21-2.38
Dy 0.8529 0.3736 0.8646  6 O 2.21-2.38
Dy 0.8736 0.6471 0.6146  6 O 2.21-2.38
Ge 0.1005 0.1521 0.6310  4 O 1.74-1.79
Ge 0.1521 0.1005 0.3690  4 O 1.74-1.79
Ge 0.3479 0.6005 0.8810  4 O 1.74-1.79
Ge 0.3995 0.6521 0.6190  4 O 1.74-1.79
Ge 0.6005 0.3479 0.1190  4 O 1.74-1.79
Ge 0.6521 0.3995 0.3810  4 O 1.74-1.79
Ge 0.8479 0.8995 0.8690  4 O 1.74-1.79
Ge 0.8995 0.8479 0.1310  4 O 1.74-1.79
O 0.0326 0.0780 0.8723  1 Ge 1.74
O 0.0659 0.6622 0.1786  1 Ge 1.79
O 0.0780 0.0326 0.1277  1 Ge 1.74
O 0.1444 0.3184 0.2945  1 Ge 1.74
O 0.1622 0.4342 0.9286  1 Ge 1.79
O 0.1816 0.6444 0.5445  1 Ge 1.74
O 0.1980 0.1980 0.5000  2 Ge 1.78
O 0.3020 0.6980 0.7500  2 Ge 1.78
O 0.3184 0.1444 0.7055  1 Ge 1.74
O 0.3378 0.9342 0.3214  1 Ge 1.79
O 0.3556 0.8184 0.9555  1 Ge 1.74
O 0.4220 0.5326 0.1223  1 Ge 1.74
O 0.4342 0.1622 0.0714  1 Ge 1.79
O 0.4674 0.5780 0.3777  1 Ge 1.74
O 0.5326 0.4220 0.8777  1 Ge 1.74
O 0.5658 0.8378 0.5714  1 Ge 1.79
O 0.5780 0.4674 0.6223  1 Ge 1.74
O 0.6444 0.1816 0.4555  1 Ge 1.74
O 0.6622 0.0659 0.8214  1 Ge 1.79
O 0.6816 0.8556 0.2055  1 Ge 1.74
O 0.6980 0.3020 0.2500  2 Ge 1.78
O 0.8020 0.8020 0.0000  2 Ge 1.78
O 0.8184 0.3556 0.0445  1 Ge 1.74
O 0.8378 0.5658 0.4286  1 Ge 1.79
O 0.8556 0.6816 0.7945  1 Ge 1.74
O 0.9220 0.9674 0.6277  1 Ge 1.74
O 0.9342 0.3378 0.6786  1 Ge 1.79
O 0.9674 0.9220 0.3723  1 Ge 1.74



[4]
The following is a DFT calculation (PBEsol) of a relaxed structure of Dy2Ge2O7.

Output
Electronic total energy: -7.78 eV/atom
Total magnetization: 0.00 μB/f.u.
Energy relative to the elements, uncorrected: -2.6363 eV per atom
Space-group type: P2_1/c (14)

Cell: 4.9388 11.0020 5.6036 Å, 90.00 95.38 90.00°
With the nearest neighbours (Å) after each atom.
Element x y z (fractional)
Dy 0.1071 0.1485 0.3975  6 O 2.23-2.29
Dy 0.1071 0.3515 0.8975  6 O 2.23-2.29
Dy 0.8929 0.6485 0.1025  6 O 2.23-2.29
Dy 0.8929 0.8515 0.6025  6 O 2.23-2.29
Ge 0.3624 0.6200 0.6549  4 O 1.75-1.76
Ge 0.3624 0.8800 0.1549  4 O 1.75-1.76
Ge 0.6376 0.1200 0.8451  4 O 1.75-1.76
Ge 0.6376 0.3800 0.3451  4 O 1.75-1.76
O 0.1221 0.6937 0.4549  1 Ge 1.75
O 0.1221 0.8063 0.9549  1 Ge 1.75
O 0.1960 0.5502 0.8838  1 Ge 1.76
O 0.1960 0.9498 0.3838  1 Ge 1.76
O 0.3667 0.2102 0.7239  1 Ge 1.75
O 0.3667 0.2898 0.2239  1 Ge 1.75
O 0.5000 0.0000 0.0000  2 Ge 1.75
O 0.5000 0.5000 0.5000  2 Ge 1.75
O 0.6333 0.7102 0.7761  1 Ge 1.75
O 0.6333 0.7898 0.2761  1 Ge 1.75
O 0.8040 0.0502 0.6162  1 Ge 1.76
O 0.8040 0.4498 0.1162  1 Ge 1.76
O 0.8779 0.1937 0.0451  1 Ge 1.75
O 0.8779 0.3063 0.5451  1 Ge 1.75



[5]
The following is a DFT calculation (PBEsol) of a relaxed structure of Dy2Ge2O7.

Output
Electronic total energy: -7.79 eV/atom
Total magnetization: 0.00 μB/f.u.
Energy relative to the elements, uncorrected: -2.6438 eV per atom
Space-group type: P-1 (2)

Cell: 6.7738 6.8147 11.9577 Å, 94.76 94.03 92.57°
With the nearest neighbours (Å) after each atom.
Element x y z (fractional)
Dy 0.0724 0.0926 0.3706  5 O 2.19-2.39
Dy 0.1734 0.6912 0.8721  7 O 2.27-2.37
Dy 0.2681 0.3620 0.6252  6 O 2.18-2.42
Dy 0.3318 0.0305 0.1178  7 O 2.22-2.41
Dy 0.6682 0.9695 0.8822  7 O 2.22-2.41
Dy 0.7319 0.6380 0.3748  6 O 2.18-2.42
Dy 0.8266 0.3088 0.1279  7 O 2.27-2.37
Dy 0.9276 0.9074 0.6294  5 O 2.19-2.39
Ge 0.1514 0.1740 0.8886  4 O 1.72-1.79
Ge 0.2331 0.5881 0.3747  4 O 1.74-1.93
Ge 0.3215 0.5057 0.1491  4 O 1.73-1.83
Ge 0.3925 0.8464 0.6076  4 O 1.75-1.79
Ge 0.6075 0.1536 0.3924  4 O 1.75-1.79
Ge 0.6785 0.4943 0.8509  4 O 1.73-1.83
Ge 0.7669 0.4119 0.6253  4 O 1.74-1.93
Ge 0.8486 0.8260 0.1114  4 O 1.72-1.79
O 0.0208 0.0007 0.1882  1 Ge 1.78
O 0.0544 0.7630 0.3838  1 Ge 1.74
O 0.1028 0.2398 0.0288  1 Ge 1.76
O 0.1256 0.4229 0.2315  1 Ge 1.80
O 0.1715 0.3863 0.4491  1 Ge 1.75
O 0.2201 0.3711 0.8162  1 Ge 1.72
O 0.2221 0.7051 0.6803  1 Ge 1.79
O 0.2338 0.0340 0.5685  1 Ge 1.78
O 0.2669 0.6952 0.0648  1 Ge 1.74
O 0.3398 0.0040 0.9157  1 Ge 1.79
O 0.3893 0.0751 0.3112  1 Ge 1.75
O 0.4303 0.6324 0.2817  2 Ge 1.83
O 0.4375 0.6941 0.4864  2 Ge 1.76-1.93
O 0.4849 0.3257 0.1160  1 Ge 1.73
O 0.5151 0.6743 0.8840  1 Ge 1.73
O 0.5625 0.3059 0.5136  2 Ge 1.76-1.93
O 0.5697 0.3676 0.7183  2 Ge 1.83
O 0.6107 0.9249 0.6888  1 Ge 1.75
O 0.6602 0.9960 0.0843  1 Ge 1.79
O 0.7331 0.3048 0.9352  1 Ge 1.74
O 0.7662 0.9660 0.4315  1 Ge 1.78
O 0.7779 0.2949 0.3197  1 Ge 1.79
O 0.7799 0.6289 0.1838  1 Ge 1.72
O 0.8285 0.6137 0.5509  1 Ge 1.75
O 0.8744 0.5771 0.7685  1 Ge 1.80
O 0.8972 0.7602 0.9712  1 Ge 1.76
O 0.9456 0.2370 0.6162  1 Ge 1.74
O 0.9792 0.9993 0.8118  1 Ge 1.78



[6]
The following is a DFT calculation (PBEsol) of a relaxed structure of Dy2Ge2O7.

Output
Electronic total energy: -7.84 eV/atom
Total magnetization: 0.00 μB/f.u.
Energy relative to the elements, uncorrected: -2.6952 eV per atom
Space-group type: Fd-3m (227)

Cell: 7.0040 7.0040 7.0040 Å, 60.00 60.00 60.00°
With the nearest neighbours (Å) after each atom.
Element x y z (fractional)
Dy 0.0000 0.0000 0.0000  2 O 2.14
Dy 0.0000 0.0000 0.5000  2 O 2.14
Dy 0.0000 0.5000 0.0000  2 O 2.14
Dy 0.5000 0.0000 0.0000  2 O 2.14
Ge 0.0000 0.5000 0.5000  6 O 1.91
Ge 0.5000 0.0000 0.5000  6 O 1.91
Ge 0.5000 0.5000 0.0000  6 O 1.91
Ge 0.5000 0.5000 0.5000  6 O 1.91
O 0.1250 0.1250 0.1250  4 Dy 2.14
O 0.1718 0.1718 0.5782  2 Ge 1.91
O 0.1718 0.5782 0.1718  2 Ge 1.91
O 0.1718 0.5782 0.5782  2 Ge 1.91
O 0.4218 0.4218 0.8282  2 Ge 1.91
O 0.4218 0.8282 0.4218  2 Ge 1.91
O 0.4218 0.8282 0.8282  2 Ge 1.91
O 0.5782 0.1718 0.1718  2 Ge 1.91
O 0.5782 0.1718 0.5782  2 Ge 1.91
O 0.5782 0.5782 0.1718  2 Ge 1.91
O 0.8282 0.4218 0.4218  2 Ge 1.91
O 0.8282 0.4218 0.8282  2 Ge 1.91
O 0.8282 0.8282 0.4218  2 Ge 1.91
O 0.8750 0.8750 0.8750  4 Dy 2.14



Polymorph energy (0 for the lowest one)? In order: 6.7 11.2 3.2 5.7 5.0 0.0 kJ/mol of atoms.